The following is a GGA-PBE calculation of crystalline Al2MoOs at its relaxed geometry, from the Alexandria database.

Values from the calculation:
The uncorrected energy comes out at -29.780 eV/f.u. The energy relative to the lowest polymorph listed for this composition is 265 meV per atom. The calculated formation energy comes out at -0.058 eV/atom.

Structure (POSCAR):
```
Al2MoOs
1.0
-1.9410 1.9410 3.9364
1.9410 -1.9410 3.9364
1.9410 1.9410 -3.9364
Al Mo Os
2 1 1
Direct
0.2500 0.7500 0.5000 Al
0.7500 0.2500 0.5000 Al
0.0000 0.0000 0.0000 Mo
0.5000 0.5000 0.0000 Os
```